(1)
La2Pr2Er (PBE, optimized geometry); E above lowest polymorph = 0 meV per atom; energy of formation = 0.030 eV per atom
1.0
6.449 0.000 0.000
0.000 5.947 0.000
-3.217 0.000 9.331
La Pr Er
4 4 2
direct
0.036 0.250 0.398
0.234 0.250 0.800
0.766 0.750 0.200
0.964 0.750 0.602
0.170 0.750 0.002
0.368 0.750 0.398
0.632 0.250 0.602
0.830 0.250 0.998
0.434 0.250 0.199
0.566 0.750 0.801

(2)
DyZrCuAu (PBE, optimized geometry); energy of formation = -0.340 eV per atom
1.0
6.913 0.000 0.000
0.000 6.913 0.000
0.000 0.000 6.913
Dy Zr Cu Au
4 4 4 4
direct
0.000 0.000 0.000
0.000 0.500 0.500
0.500 0.000 0.500
0.500 0.500 0.000
0.000 0.000 0.500
0.000 0.500 0.000
0.500 0.000 0.000
0.500 0.500 0.500
0.250 0.250 0.250
0.250 0.750 0.750
0.750 0.250 0.750
0.750 0.750 0.250
0.250 0.250 0.750
0.250 0.750 0.250
0.750 0.250 0.250
0.750 0.750 0.750

(3)
CaPr2Ir (PBE, optimized geometry); E above lowest polymorph = 12 meV per atom; energy of formation = -0.358 eV per atom
1.0
4.148 0.000 0.000
0.000 12.750 0.000
0.000 0.000 9.171
Ca Pr Ir
4 8 4
direct
0.000 0.076 0.250
0.000 0.924 0.750
0.500 0.424 0.750
0.500 0.576 0.250
0.000 0.355 0.062
0.000 0.355 0.438
0.000 0.645 0.562
0.000 0.645 0.938
0.500 0.145 0.562
0.500 0.145 0.938
0.500 0.855 0.062
0.500 0.855 0.438
0.000 0.248 0.750
0.000 0.752 0.250
0.500 0.252 0.250
0.500 0.748 0.750

(4)
Cs2KSbBr6 (PBE, optimized geometry); formation energy without anion corrections = -1334.1 meV per atom; E above lowest polymorph = 19 meV per atom
1.0
0.000 5.988 5.988
5.988 0.000 5.988
5.988 5.988 0.000
Cs K Sb Br
2 1 1 6
direct
0.250 0.250 0.250
0.750 0.750 0.750
0.000 0.000 0.000
0.500 0.500 0.500
0.265 0.265 0.735
0.265 0.735 0.265
0.265 0.735 0.735
0.735 0.265 0.265
0.735 0.265 0.735
0.735 0.735 0.265

| no. | energy (eV/f.u.) | V (Å³/f.u.) |
| --- | --- | --- |
| 1 | -23.83 | 178.92 |
| 2 | -21.88 | 82.60 |
| 3 | -21.86 | 121.27 |
| 4 | -30.31 | 429.37 |